Computed, not measured: an optimized crystal structure of LaSmSn at the PBE level of DFT.

## Properties
Energy above the most stable polymorph in this dataset   113 meV/atom
Fermi-level density of states   1.1136 states/eV/atom
E_form   -0.511 eV/atom
Space group   I4mm (107)

Cell lengths 4.230, 4.230, 5.855 Å; angles 111.17, 111.17, 90.00 degrees
Fractional positions:
Sn1 0.613 0.613 0.226
Sm1 0.965 0.965 0.930
La1 0.272 0.272 0.544

=====

Computed, not measured: an optimized crystal structure of La3SmSn4 at the PBE level of DFT.

## Properties
Fermi-level density of states   0.6534 states/eV/atom
E_form   -0.612 eV/atom
Space group   Immm (71)

Cell lengths 4.056, 7.292, 9.938 Å; angles 111.52, 101.77, 90.00 degrees
Fractional positions:
La1 0.000 0.500 0.000
La2 0.206 0.206 0.412
La3 0.794 0.794 0.588
Sm1 0.500 0.000 0.000
Sn1 0.372 0.576 0.744
Sn2 0.628 0.424 0.256
Sn3 0.628 0.832 0.256
Sn4 0.372 0.168 0.744

=====

Computed, not measured: an optimized crystal structure of La5SmSn5 at the PBE level of DFT.

## Properties
Fermi-level density of states   0.9971 states/eV/atom
E_form   -0.524 eV/atom
Space group   C2/m (12)

Cell lengths 6.482, 8.119, 8.851 Å; angles 105.98, 90.00, 113.53 degrees
Fractional positions:
La1 0.671 0.342 0.331
La2 0.669 0.338 0.836
La3 0.000 0.000 0.500
La4 0.331 0.662 0.164
La5 0.329 0.658 0.669
Sm1 0.000 0.000 0.000
Sn1 0.839 0.679 0.167
Sn2 0.837 0.675 0.668
Sn3 0.500 0.000 0.000
Sn4 0.163 0.325 0.332
Sn5 0.161 0.321 0.833

=====

Computed, not measured: an optimized crystal structure of La3SmSn2 at the PBE level of DFT.

## Properties
Energy above the most stable polymorph in this dataset   0 meV/atom
Fermi-level density of states   1.4453 states/eV/atom
E_form   -0.601 eV/atom
Space group   Ibam (72)

Cell lengths 6.704, 6.695, 10.086 Å; angles 109.38, 109.41, 90.00 degrees
Site moments in Bohr magnetons follow the coordinates.
Fractional positions:
La1 0.429 0.677 0.353  0.09
La2 0.571 0.323 0.647  0.09
La3 0.075 0.823 0.647  0.09
La4 0.925 0.177 0.353  0.09
La5 0.500 0.750 0.000  0.05
La6 0.500 0.250 0.000  0.05
Sm1 0.000 0.250 0.000  0.05
Sm2 0.000 0.750 0.000  0.05
Sn1 0.381 0.136 0.272  0.00
Sn2 0.619 0.864 0.728  0.00
Sn3 0.108 0.364 0.728  0.00
Sn4 0.892 0.636 0.272  0.00

=====

Computed, not measured: an optimized crystal structure of La2SmSn at the PBE level of DFT.

## Properties
Energy above the most stable polymorph in this dataset   194 meV/atom
Fermi-level density of states   1.6831 states/eV/atom
E_form   -0.278 eV/atom
Space group   Fm-3m (225)

Cell lengths 5.649, 5.649, 5.649 Å; angles 60.00, 60.00, 60.00 degrees
Fractional positions:
Sn1 0.500 0.500 0.500
Sm1 0.000 0.000 0.000
La1 0.250 0.250 0.250
La2 0.750 0.750 0.750

=====

Computed, not measured: an optimized crystal structure of La4SmSn2 at the PBE level of DFT.

## Properties
Energy above the most stable polymorph in this dataset   568 meV/atom
Fermi-level density of states   0.8211 states/eV/atom
E_form   0.109 eV/atom
Space group   I4/mmm (139)

Cell lengths 5.542, 5.542, 9.227 Å; angles 107.48, 107.48, 90.00 degrees
Site moments in Bohr magnetons follow the coordinates.
Fractional positions:
La1 0.819 0.819 0.639  0.00
La2 0.181 0.181 0.361  0.00
La3 0.000 0.500 0.000  0.12
La4 0.500 0.000 0.000  0.12
Sm1 0.000 0.000 0.000  0.27
Sn1 0.632 0.632 0.264  0.00
Sn2 0.368 0.368 0.736  0.00